Record 1
{"formula": "BeV2B2Ru5", "functional": "PBE", "state": "optimized geometry", "vol_a3_per_fu": 116.7, "n_ef_per_ev_cell": 14.398, "density_g_cm3": 9.1, "delta_e_f_ev_per_atom": -0.383, "lattice": [[8.980, 0.000, 0.000], [0.000, 8.980, 0.000], [0.000, 0.000, 2.895]], "species": ["Be", "Be", "V", "V", "V", "V", "B", "B", "B", "B", "Ru", "Ru", "Ru", "Ru", "Ru", "Ru", "Ru", "Ru", "Ru", "Ru"], "frac_coords": [[0.000, 0.000, 0.000], [0.500, 0.500, 0.000], [0.176, 0.324, 0.000], [0.324, 0.824, 0.000], [0.676, 0.176, 0.000], [0.824, 0.676, 0.000], [0.130, 0.630, 0.000], [0.370, 0.130, 0.000], [0.630, 0.870, 0.000], [0.870, 0.370, 0.000], [0.000, 0.500, 0.500], [0.070, 0.795, 0.500], [0.205, 0.070, 0.500], [0.295, 0.570, 0.500], [0.430, 0.295, 0.500], [0.500, 0.000, 0.500], [0.570, 0.705, 0.500], [0.705, 0.430, 0.500], [0.795, 0.930, 0.500], [0.930, 0.205, 0.500]]}


Record 2
{"formula": "Be2BRuW", "functional": "PBE", "state": "optimized geometry", "vol_a3_per_fu": 87.0, "n_ef_per_ev_cell": 5.034, "density_g_cm3": 6.0, "delta_e_f_ev_per_atom": 2.347, "lattice": [[4.329, 0.000, 0.000], [0.000, 4.329, 0.000], [0.000, 0.000, 4.643]], "species": ["Be", "Be", "B", "Ru", "W"], "frac_coords": [[0.000, 0.500, 0.000], [0.500, 0.000, 0.000], [0.000, 0.000, 0.500], [0.500, 0.500, 0.500], [0.500, 0.500, 0.000]]}


Record 3
{"formula": "BeB2Ru5W2", "functional": "PBE", "state": "optimized geometry", "vol_a3_per_fu": 120.9, "n_ef_per_ev_cell": 11.509, "density_g_cm3": 12.4, "delta_e_f_ev_per_atom": -0.313, "lattice": [[9.159, 0.000, 0.000], [0.000, 9.159, 0.000], [0.000, 0.000, 2.882]], "species": ["Be", "Be", "B", "B", "B", "B", "Ru", "Ru", "Ru", "Ru", "Ru", "Ru", "Ru", "Ru", "Ru", "Ru", "W", "W", "W", "W"], "frac_coords": [[0.000, 0.000, 0.000], [0.500, 0.500, 0.000], [0.129, 0.371, 0.000], [0.371, 0.871, 0.000], [0.629, 0.129, 0.000], [0.871, 0.629, 0.000], [0.000, 0.500, 0.500], [0.062, 0.209, 0.500], [0.209, 0.938, 0.500], [0.291, 0.438, 0.500], [0.438, 0.709, 0.500], [0.500, 0.000, 0.500], [0.562, 0.291, 0.500], [0.709, 0.562, 0.500], [0.791, 0.062, 0.500], [0.938, 0.791, 0.500], [0.179, 0.679, 0.000], [0.321, 0.179, 0.000], [0.679, 0.821, 0.000], [0.821, 0.321, 0.000]]}


Record 4
{"formula": "YBe2BRu2", "functional": "PBE", "state": "optimized geometry", "vol_a3_per_fu": 85.4, "n_ef_per_ev_cell": 3.090, "density_g_cm3": 6.2, "delta_e_f_ev_per_atom": -0.406, "lattice": [[4.104, 0.000, 0.000], [0.000, 4.104, 0.000], [0.000, 0.000, 5.067]], "species": ["Y", "Be", "Be", "B", "Ru", "Ru"], "frac_coords": [[0.000, 0.000, 0.000], [0.500, 0.500, 0.267], [0.500, 0.500, 0.733], [0.000, 0.000, 0.500], [0.000, 0.500, 0.500], [0.500, 0.000, 0.500]]}


Record 5
{"formula": "Y2BeB2Ru5", "functional": "PBE", "state": "optimized geometry", "vol_a3_per_fu": 137.5, "n_ef_per_ev_cell": 23.175, "density_g_cm3": 8.6, "delta_e_f_ev_per_atom": -0.318, "lattice": [[9.428, 0.000, 0.000], [0.000, 9.428, 0.000], [0.000, 0.000, 3.095]], "species": ["Y", "Y", "Y", "Y", "Be", "Be", "B", "B", "B", "B", "Ru", "Ru", "Ru", "Ru", "Ru", "Ru", "Ru", "Ru", "Ru", "Ru"], "frac_coords": [[0.175, 0.325, 0.000], [0.325, 0.825, 0.000], [0.675, 0.175, 0.000], [0.825, 0.675, 0.000], [0.000, 0.000, 0.000], [0.500, 0.500, 0.000], [0.126, 0.626, 0.000], [0.374, 0.126, 0.000], [0.626, 0.874, 0.000], [0.874, 0.374, 0.000], [0.000, 0.500, 0.500], [0.068, 0.791, 0.500], [0.209, 0.068, 0.500], [0.291, 0.568, 0.500], [0.432, 0.291, 0.500], [0.500, 0.000, 0.500], [0.568, 0.709, 0.500], [0.709, 0.432, 0.500], [0.791, 0.932, 0.500], [0.932, 0.209, 0.500]]}


Record 6
{"formula": "Zr2BeB2Ru5", "functional": "PBE", "state": "optimized geometry", "vol_a3_per_fu": 130.9, "n_ef_per_ev_cell": 18.559, "density_g_cm3": 9.1, "delta_e_f_ev_per_atom": -0.524, "lattice": [[9.230, 0.000, 0.000], [0.000, 9.230, 0.000], [0.000, 0.000, 3.073]], "species": ["Zr", "Zr", "Zr", "Zr", "Be", "Be", "B", "B", "B", "B", "Ru", "Ru", "Ru", "Ru", "Ru", "Ru", "Ru", "Ru", "Ru", "Ru"], "frac_coords": [[0.175, 0.325, 0.000], [0.325, 0.825, 0.000], [0.675, 0.175, 0.000], [0.825, 0.675, 0.000], [0.000, 0.000, 0.000], [0.500, 0.500, 0.000], [0.127, 0.627, 0.000], [0.373, 0.127, 0.000], [0.627, 0.873, 0.000], [0.873, 0.373, 0.000], [0.000, 0.500, 0.500], [0.070, 0.791, 0.500], [0.209, 0.070, 0.500], [0.291, 0.570, 0.500], [0.430, 0.291, 0.500], [0.500, 0.000, 0.500], [0.570, 0.709, 0.500], [0.709, 0.430, 0.500], [0.791, 0.930, 0.500], [0.930, 0.209, 0.500]]}


Record 7
{"formula": "Be3BS", "functional": "PBE", "state": "optimized geometry", "vol_a3_per_fu": 52.9, "raw_formation_energy_ev_per_atom": 0.301, "n_ef_per_ev_cell": 3.150, "density_g_cm3": 2.2, "lattice": [[3.755, 0.000, 0.000], [0.000, 3.755, 0.000], [0.000, 0.000, 3.755]], "species": ["Be", "Be", "Be", "B", "S"], "frac_coords": [[0.000, 0.000, 0.500], [0.000, 0.500, 0.000], [0.500, 0.000, 0.000], [0.000, 0.000, 0.000], [0.500, 0.500, 0.500]]}


Record 8
{"formula": "BeBS", "functional": "PBE", "state": "optimized geometry", "vol_a3_per_fu": 36.6, "raw_formation_energy_ev_per_atom": 0.104, "density_g_cm3": 2.4, "lattice": [[5.774, -1.549, 0.000], [5.774, 1.549, 0.000], [-1.021, 0.000, 4.090]], "species": ["Be", "Be", "B", "B", "S", "S"], "frac_coords": [[0.151, 0.151, 0.142], [0.849, 0.849, 0.858], [0.073, 0.073, 0.490], [0.927, 0.927, 0.510], [0.344, 0.344, 0.242], [0.656, 0.656, 0.758]]}


Record 9
{"formula": "BeB2S", "functional": "PBE", "state": "optimized geometry", "vol_a3_per_fu": 46.8, "raw_formation_energy_ev_per_atom": -0.056, "n_ef_per_ev_cell": 0.517, "density_g_cm3": 2.2, "lattice": [[8.811, -1.527, 0.000], [8.811, 1.527, 0.000], [-0.060, 0.000, 3.474]], "species": ["Be", "Be", "B", "B", "B", "B", "S", "S"], "frac_coords": [[0.000, 0.000, 0.000], [0.662, 0.662, 0.032], [0.048, 0.048, 0.504], [0.326, 0.326, 0.045], [0.557, 0.557, 0.250], [0.561, 0.561, 0.761], [0.227, 0.227, 0.184], [0.878, 0.878, 0.953]]}


Record 10
{"formula": "BeBS2", "functional": "PBE", "state": "optimized geometry", "vol_a3_per_fu": 51.1, "raw_formation_energy_ev_per_atom": -0.145, "n_ef_per_ev_cell": 3.833, "density_g_cm3": 2.7, "lattice": [[-2.344, 2.344, 4.654], [2.344, -2.344, 4.654], [2.344, 2.344, -4.654]], "species": ["Be", "Be", "B", "B", "S", "S", "S", "S"], "frac_coords": [[0.000, 0.000, 0.000], [0.750, 0.250, 0.500], [0.250, 0.750, 0.500], [0.500, 0.500, 0.000], [0.147, 0.625, 0.022], [0.375, 0.397, 0.522], [0.603, 0.125, 0.978], [0.875, 0.853, 0.478]]}


Record 11
{"formula": "BeB2S", "functional": "PBE", "state": "optimized geometry", "vol_a3_per_fu": 40.7, "raw_formation_energy_ev_per_atom": -0.117, "density_g_cm3": 2.6, "lattice": [[3.219, 0.000, 0.000], [1.533, 2.862, 0.000], [0.992, 0.474, 8.828]], "species": ["Be", "Be", "B", "B", "B", "B", "S", "S"], "frac_coords": [[0.000, 0.000, 0.000], [0.239, 0.292, 0.327], [0.135, 0.681, 0.717], [0.369, 0.333, 0.892], [0.459, 0.993, 0.715], [0.717, 0.669, 0.885], [0.442, 0.359, 0.539], [0.930, 0.964, 0.233]]}


Record 12
{"formula": "BeBS2", "functional": "PBE", "state": "optimized geometry", "vol_a3_per_fu": 48.0, "raw_formation_energy_ev_per_atom": 1.132, "n_ef_per_ev_cell": 2.195, "density_g_cm3": 2.9, "lattice": [[0.000, 2.885, 2.885], [2.885, 0.000, 2.885], [2.885, 2.885, 0.000]], "species": ["Be", "B", "S", "S"], "frac_coords": [[0.000, 0.000, 0.000], [0.500, 0.500, 0.500], [0.250, 0.250, 0.250], [0.750, 0.750, 0.750]]}


Record 13
{"formula": "BeBS", "functional": "PBE", "state": "optimized geometry", "vol_a3_per_fu": 42.6, "raw_formation_energy_ev_per_atom": -0.265, "density_g_cm3": 2.0, "lattice": [[3.205, 0.000, 0.000], [-1.308, 3.319, 0.000], [-0.038, -0.263, 8.006]], "species": ["Be", "Be", "B", "B", "S", "S"], "frac_coords": [[0.000, 0.000, 0.000], [0.385, 0.647, 0.671], [0.410, 0.530, 0.917], [0.891, 0.447, 0.840], [0.425, 0.805, 0.129], [0.719, 0.273, 0.602]]}


Record 14
{"formula": "BeB3S", "functional": "PBE", "state": "optimized geometry", "vol_a3_per_fu": 52.3, "raw_formation_energy_ev_per_atom": 1.687, "n_ef_per_ev_cell": 1.374, "density_g_cm3": 2.3, "lattice": [[3.739, 0.000, 0.000], [0.000, 3.739, 0.000], [0.000, 0.000, 3.739]], "species": ["Be", "B", "B", "B", "S"], "frac_coords": [[0.000, 0.000, 0.000], [0.000, 0.000, 0.500], [0.000, 0.500, 0.000], [0.500, 0.000, 0.000], [0.500, 0.500, 0.500]]}


Record 15
{"formula": "BeB2S", "functional": "PBE", "state": "optimized geometry", "vol_a3_per_fu": 43.7, "raw_formation_energy_ev_per_atom": 0.625, "n_ef_per_ev_cell": 0.932, "density_g_cm3": 2.4, "lattice": [[-2.321, 2.321, 4.060], [2.321, -2.321, 4.060], [2.321, 2.321, -4.060]], "species": ["Be", "Be", "B", "B", "B", "B", "S", "S"], "frac_coords": [[0.000, 0.000, 0.000], [0.750, 0.250, 0.500], [0.135, 0.625, 0.010], [0.375, 0.385, 0.510], [0.615, 0.125, 0.990], [0.875, 0.865, 0.490], [0.250, 0.750, 0.500], [0.500, 0.500, 0.000]]}


Record 16
{"formula": "BeBS", "functional": "PBE", "state": "optimized geometry", "vol_a3_per_fu": 34.4, "raw_formation_energy_ev_per_atom": -0.258, "n_ef_per_ev_cell": 0.389, "density_g_cm3": 2.5, "lattice": [[2.848, -1.639, 0.000], [2.848, 1.639, 0.000], [-0.001, 0.000, 7.378]], "species": ["Be", "Be", "B", "B", "S", "S"], "frac_coords": [[0.000, 0.000, 0.000], [0.662, 0.662, 0.605], [0.177, 0.177, 0.247], [0.827, 0.827, 0.247], [0.003, 0.003, 0.494], [0.666, 0.666, 0.884]]}


Record 17
{"formula": "BeBS", "functional": "PBE", "state": "optimized geometry", "vol_a3_per_fu": 36.5, "raw_formation_energy_ev_per_atom": -0.245, "n_ef_per_ev_cell": 0.711, "density_g_cm3": 2.4, "lattice": [[3.205, 0.000, 0.000], [0.708, 3.428, 0.000], [0.511, 0.270, 6.649]], "species": ["Be", "Be", "B", "B", "S", "S"], "frac_coords": [[0.000, 0.000, 0.000], [0.401, 0.626, 0.408], [0.340, 0.437, 0.939], [0.851, 0.506, 0.847], [0.465, 0.157, 0.207], [0.857, 0.703, 0.580]]}


Record 18
{"formula": "BeBS", "functional": "PBE", "state": "optimized geometry", "vol_a3_per_fu": 34.5, "raw_formation_energy_ev_per_atom": -0.305, "density_g_cm3": 2.5, "lattice": [[3.288, 0.000, 0.000], [1.622, 2.862, 0.000], [0.552, 1.160, 7.343]], "species": ["Be", "Be", "B", "B", "S", "S"], "frac_coords": [[0.000, 0.000, 0.000], [0.335, 0.187, 0.392], [0.006, 0.810, 0.511], [0.676, 0.466, 0.511], [0.333, 0.294, 0.108], [0.778, 0.048, 0.734]]}


Record 19
{"formula": "BeBS", "functional": "PBE", "state": "optimized geometry", "vol_a3_per_fu": 48.3, "raw_formation_energy_ev_per_atom": -0.269, "n_ef_per_ev_cell": 0.744, "density_g_cm3": 1.8, "lattice": [[3.177, 0.000, 0.000], [0.000, 5.026, 0.000], [-0.058, -1.070, 6.046]], "species": ["Be", "Be", "B", "B", "S", "S"], "frac_coords": [[0.250, 0.178, 0.002], [0.750, 0.822, 0.998], [0.249, 0.546, 0.961], [0.751, 0.454, 0.039], [0.246, 0.817, 0.769], [0.754, 0.183, 0.231]]}


Record 20
{"formula": "BeBS", "functional": "PBE", "state": "optimized geometry", "vol_a3_per_fu": 36.5, "raw_formation_energy_ev_per_atom": -0.276, "n_ef_per_ev_cell": 0.118, "density_g_cm3": 2.4, "lattice": [[3.190, 0.000, 0.000], [1.515, 3.265, 0.000], [1.483, 1.154, 7.014]], "species": ["Be", "Be", "B", "B", "S", "S"], "frac_coords": [[0.000, 0.000, 0.000], [0.234, 0.114, 0.465], [0.389, 0.565, 0.630], [0.895, 0.657, 0.542], [0.357, 0.390, 0.901], [0.861, 0.023, 0.291]]}


Record 21
{"formula": "Be3BS", "functional": "PBE", "state": "optimized geometry", "vol_a3_per_fu": 60.5, "raw_formation_energy_ev_per_atom": 1.228, "n_ef_per_ev_cell": 3.068, "density_g_cm3": 1.9, "lattice": [[3.925, 0.000, 0.000], [0.000, 3.925, 0.000], [0.000, 0.000, 3.925]], "species": ["Be", "Be", "Be", "B", "S"], "frac_coords": [[0.000, 0.000, 0.500], [0.000, 0.500, 0.000], [0.500, 0.000, 0.000], [0.500, 0.500, 0.500], [0.000, 0.000, 0.000]]}


Record 22
{"formula": "BeB2S", "functional": "PBE", "state": "optimized geometry", "vol_a3_per_fu": 35.7, "raw_formation_energy_ev_per_atom": 1.598, "n_ef_per_ev_cell": 1.137, "density_g_cm3": 2.9, "lattice": [[0.000, 2.613, 2.613], [2.613, 0.000, 2.613], [2.613, 2.613, 0.000]], "species": ["Be", "B", "B", "S"], "frac_coords": [[0.000, 0.000, 0.000], [0.250, 0.250, 0.250], [0.750, 0.750, 0.750], [0.500, 0.500, 0.500]]}


Record 23
{"formula": "BeBS", "functional": "PBE", "state": "optimized geometry", "vol_a3_per_fu": 36.6, "raw_formation_energy_ev_per_atom": -0.277, "density_g_cm3": 2.4, "lattice": [[3.201, 0.000, 0.000], [-0.710, 4.562, 0.000], [-0.523, -0.767, 5.018]], "species": ["Be", "Be", "B", "B", "S", "S"], "frac_coords": [[0.000, 0.000, 0.000], [0.359, 0.410, 0.628], [0.460, 0.082, 0.316], [0.965, 0.993, 0.397], [0.577, 0.296, 0.016], [0.933, 0.708, 0.644]]}